This record from Alexandria via LeMat-Bulk describes CuSiAu2Se after structural relaxation. The functional is PBE.

crystal system: tetragonal
formation energy from raw total energies: 0.5399 eV per atom
uncorrected energy: -3.3718 eV/atom

Cell lengths 4.8060, 4.8060, 4.5006 Å; angles 90.00, 90.00, 90.00 degrees
Space group P4/mmm (No. 123)
Unique sites:
Cu1 0.0000 0.0000 0.0000 (multiplicity 1)
Si1 0.0000 0.0000 0.5000 (multiplicity 1)
Au1 0.0000 0.5000 0.5000 (multiplicity 2)
Se1 0.5000 0.5000 0.0000 (multiplicity 1)